Entry 1:
DFT (PBE-GGA) results for a relaxed structure of Cd3Pd3Au.

Values from the calculation:
Mass density   10.520 g/cm³
E_form   -0.306 eV/atom
Magnetic moment   0.00 μB per formula unit
Energy above the most stable polymorph in this dataset   0.000 eV per atom

Structure (POSCAR):
```
Cd3Pd3Au
1.0
4.545 2.624 1.883
-4.545 2.624 1.883
0.000 -5.248 1.883
Cd Pd Au
3 3 1
Cartesian
-2.273 -1.312 1.883
-2.273 1.312 3.765
0.000 2.624 1.883
-4.545 0.000 2.824
-2.273 1.312 0.941
2.273 1.312 0.941
0.000 0.000 0.000
```



Entry 2:
DFT (PBE-GGA) results for a relaxed structure of FeMoRh2.

Values from the calculation:
Mass density   10.611 g/cm³
E_form   0.001 eV/atom
Magnetic moment   2.34 μB per formula unit
Energy above the most stable polymorph in this dataset   0.145 eV per atom

Structure (POSCAR):
```
FeMoRh2
1.0
2.720 0.000 0.000
0.000 2.720 0.000
0.000 0.000 7.565
Fe Mo Rh
1 1 2
Cartesian
0.000 0.000 0.000
1.360 1.360 1.906
0.000 0.000 3.826
1.360 1.360 5.851
```



Entry 3:
DFT (PBE-GGA) results for a relaxed structure of Rb2InGeO5.

Values from the calculation:
Mass density   4.324 g/cm³
Formation energy (no corrections)   -1.36 eV/atom
Magnetic moment   1.01 μB per formula unit

Structure (POSCAR):
```
Rb2InGeO5
1.0
1.638 -7.870 0.000
1.638 7.870 0.000
0.000 0.000 13.057
Rb In Ge O
4 2 2 10
Cartesian
1.638 6.481 6.528
1.638 5.544 2.058
1.638 -5.544 8.587
1.638 -6.481 0.000
1.638 4.624 11.482
1.638 -4.624 4.953
1.638 0.910 3.433
1.638 -0.910 9.962
1.638 7.206 10.921
1.638 3.246 6.310
1.638 2.701 3.467
1.638 2.558 11.017
1.638 0.083 1.948
1.638 -0.083 8.477
1.638 -2.558 4.488
1.638 -2.701 9.996
1.638 -3.246 12.838
1.638 -7.206 4.393
```



Entry 4:
DFT (PBE-GGA) results for a relaxed structure of Pr8Ir3I4O.

Values from the calculation:
Mass density   7.552 g/cm³
Formation energy (no corrections)   -1.11 eV/atom
Magnetic moment   0.00 μB per formula unit

Structure (POSCAR):
```
Pr8Ir3I4O
1.0
7.222 -4.166 0.000
7.222 4.166 0.000
-4.814 0.000 8.139
Pr Ir I O
8 3 4 1
Cartesian
3.649 2.148 5.534
-0.063 0.000 5.540
5.981 2.148 2.605
2.407 0.000 2.553
7.223 0.000 5.586
3.649 -2.148 5.534
9.694 0.000 2.599
5.981 -2.148 2.605
1.204 2.083 4.070
1.204 -2.083 4.070
4.815 0.000 4.070
0.000 0.000 0.000
3.611 2.083 0.000
3.611 -2.083 0.000
7.222 0.000 0.000
-2.407 0.000 4.070
```



Entry 5:
DFT (PBE-GGA) results for a relaxed structure of Tb2Dy3Er6Th.

Values from the calculation:
Mass density   9.073 g/cm³
E_form   0.024 eV/atom
Magnetic moment   0.00 μB per formula unit

Structure (POSCAR):
```
Tb2Dy3Er6Th
1.0
3.062 -5.300 0.000
3.062 5.300 0.000
-2.042 0.000 11.508
Tb Dy Er Th
2 3 6 1
Cartesian
3.062 3.533 0.000
3.062 -3.533 0.000
-1.021 0.000 5.754
2.041 1.773 5.754
2.041 -1.773 5.754
0.005 1.749 8.633
1.046 0.000 2.875
0.005 -1.749 8.633
4.077 1.749 2.875
3.037 0.000 8.633
4.077 -1.749 2.875
3.062 0.000 0.000
```



Entry 6:
DFT (PBE-GGA) results for a relaxed structure of TePt2Rh.

Values from the calculation:
Mass density   15.129 g/cm³
Formation energy (no corrections)   0.05 eV/atom
Magnetic moment   0.00 μB per formula unit
Energy above the most stable polymorph in this dataset   0.069 eV per atom

Structure (POSCAR):
```
TePt2Rh
1.0
0.000 3.242 3.242
3.242 0.000 3.242
3.242 3.242 0.000
Te Pt Rh
1 2 1
Cartesian
0.000 0.000 0.000
1.621 1.621 1.621
3.242 3.242 3.242
4.862 4.862 4.862
```



Entry 7:
DFT (PBE-GGA) results for a relaxed structure of Pr2CS2N2.

Values from the calculation:
Mass density   4.630 g/cm³
Formation energy (no corrections)   -1.38 eV/atom
Magnetic moment   0.00 μB per formula unit

Structure (POSCAR):
```
Pr2CS2N2
1.0
4.685 -2.114 0.000
4.685 2.114 0.000
-1.041 0.000 6.990
Pr C S N
2 1 2 2
Cartesian
1.441 0.000 1.719
6.888 0.000 5.270
4.164 0.000 3.495
0.332 0.000 5.867
7.997 0.000 1.123
2.989 0.000 3.879
5.340 0.000 3.110
```



Entry 8:
DFT (PBE-GGA) results for a relaxed structure of Ce2ErCo.

Values from the calculation:
Mass density   8.742 g/cm³
E_form   -0.136 eV/atom
Magnetic moment   0.00 μB per formula unit
Energy above the most stable polymorph in this dataset   0.001 eV per atom

Structure (POSCAR):
```
Ce2ErCo
1.0
6.761 0.000 0.000
0.000 9.477 0.000
0.000 0.000 6.005
Ce Er Co
8 4 4
Cartesian
1.058 0.587 0.841
1.058 4.151 0.841
2.322 5.325 3.843
2.322 8.890 3.843
4.439 0.587 2.161
4.439 4.151 2.161
5.703 5.325 5.164
5.703 8.890 5.164
0.361 2.369 3.784
3.020 7.108 0.782
3.741 2.369 5.223
6.401 7.108 2.220
0.638 7.108 5.275
2.743 2.369 2.273
4.019 7.108 3.732
6.124 2.369 0.730
```



Entry 9:
DFT (PBE-GGA) results for a relaxed structure of Na4Np3Te8Au.

Values from the calculation:
Mass density   6.558 g/cm³
Formation energy (no corrections)   -0.67 eV/atom
Magnetic moment   10.42 μB per formula unit

Structure (POSCAR):
```
Na4Np3Te8Au
1.0
7.852 -4.345 0.000
7.852 4.345 0.000
-5.180 0.000 7.499
Na Np Te Au
4 3 8 1
Cartesian
0.000 0.000 0.000
3.926 2.172 0.000
3.926 -2.172 0.000
7.852 0.000 0.000
-2.590 0.000 3.749
1.336 2.172 3.749
1.336 -2.172 3.749
2.448 0.000 1.905
-0.004 0.000 5.511
3.997 2.038 5.383
6.526 2.038 2.116
3.997 -2.038 5.383
6.526 -2.038 2.116
10.528 0.000 1.988
8.075 0.000 5.594
5.262 0.000 3.749
```



Entry 10:
DFT (PBE-GGA) results for a relaxed structure of ZnAgAs2Br.

Values from the calculation:
Mass density   5.224 g/cm³
Formation energy (no corrections)   0.59 eV/atom
Magnetic moment   0.62 μB per formula unit
Energy above the most stable polymorph in this dataset   0.000 eV per atom

Structure (POSCAR):
```
ZnAgAs2Br
1.0
4.786 0.000 0.000
0.000 4.786 0.000
0.000 0.000 5.594
Zn Ag As Br
1 1 2 1
Cartesian
0.000 0.000 0.000
2.393 2.393 2.797
0.000 2.393 0.000
2.393 0.000 0.000
0.000 0.000 2.797
```



Entry 11:
DFT (PBE-GGA) results for a relaxed structure of Rb2PuScS4.

Values from the calculation:
Mass density   4.585 g/cm³
Formation energy (no corrections)   -1.61 eV/atom
Magnetic moment   5.00 μB per formula unit

Structure (POSCAR):
```
Rb2PuScS4
1.0
6.950 0.000 0.000
0.000 4.019 0.000
-2.314 0.000 7.626
Rb Pu Sc S
2 1 1 4
Cartesian
0.000 0.000 0.000
3.475 2.009 0.000
-1.157 2.009 3.813
2.318 0.000 3.813
0.094 0.000 5.246
1.247 2.009 2.402
3.388 2.009 5.224
4.542 0.000 2.381
```



Entry 12:
DFT (PBE-GGA) results for a relaxed structure of BaFe2Os.

Values from the calculation:
Mass density   10.813 g/cm³
E_form   1.488 eV/atom
Magnetic moment   0.00 μB per formula unit
Energy above the most stable polymorph in this dataset   1.089 eV per atom

Structure (POSCAR):
```
BaFe2Os
1.0
0.000 3.231 3.231
3.231 0.000 3.231
3.231 3.231 0.000
Ba Fe Os
1 2 1
Cartesian
0.000 0.000 0.000
1.615 1.615 1.615
4.846 4.846 4.846
3.231 3.231 3.231
```



Entry 13:
DFT (PBE-GGA) results for a relaxed structure of LaLu3.

Values from the calculation:
Mass density   8.772 g/cm³
E_form   0.050 eV/atom
Magnetic moment   0.18 μB per formula unit

Structure (POSCAR):
```
LaLu3
1.0
5.009 0.000 0.000
0.000 5.009 0.000
0.000 0.000 5.009
La Lu
1 3
Cartesian
0.000 0.000 0.000
0.000 2.504 2.504
2.504 0.000 2.504
2.504 2.504 0.000
```



Entry 14:
DFT (PBE-GGA) results for a relaxed structure of Ac3AgS6.

Values from the calculation:
Mass density   5.582 g/cm³
Formation energy (no corrections)   -1.49 eV/atom
Magnetic moment   1.91 μB per formula unit

Structure (POSCAR):
```
Ac3AgS6
1.0
5.735 -7.126 0.000
5.735 7.126 0.000
0.000 0.000 7.144
Ac Ag S
6 2 12
Cartesian
5.735 5.614 3.572
3.587 1.463 4.003
3.587 -1.463 0.431
7.882 1.463 4.003
7.882 -1.463 0.431
5.735 -5.614 0.000
5.735 2.647 0.649
5.735 -2.647 4.220
3.880 3.698 1.980
1.824 0.253 2.017
1.824 -0.253 5.589
5.735 3.091 5.365
7.589 3.698 1.980
5.735 0.440 1.933
5.735 -0.440 5.505
3.880 -3.698 5.552
5.735 -3.091 1.793
9.645 0.253 2.017
9.645 -0.253 5.589
7.589 -3.698 5.552
```



Entry 15:
DFT (PBE-GGA) results for a relaxed structure of FeCo.

Values from the calculation:
Mass density   7.093 g/cm³
E_form   0.535 eV/atom
Magnetic moment   4.49 μB per formula unit

Structure (POSCAR):
```
FeCo
1.0
3.666 0.000 0.000
-1.833 3.175 0.000
0.000 0.000 4.617
Fe Co
2 2
Cartesian
0.000 2.117 1.154
1.833 1.058 3.463
0.000 0.000 0.000
0.000 0.000 2.308
```



Entry 16:
DFT (PBE-GGA) results for a relaxed structure of PaSnTe4.

Values from the calculation:
Mass density   6.137 g/cm³
Formation energy (no corrections)   -0.42 eV/atom
Magnetic moment   0.00 μB per formula unit

Structure (POSCAR):
```
PaSnTe4
1.0
4.961 -5.124 0.000
4.961 5.124 0.000
0.000 0.000 4.578
Pa Sn Te
1 1 4
Cartesian
0.000 0.000 0.000
4.961 0.000 2.289
4.961 3.162 2.289
2.963 0.000 0.000
6.960 0.000 0.000
4.961 -3.162 2.289
```



Entry 17:
DFT (PBE-GGA) results for a relaxed structure of AcLaSn.

Values from the calculation:
Mass density   8.006 g/cm³
E_form   -0.491 eV/atom
Magnetic moment   0.00 μB per formula unit
Energy above the most stable polymorph in this dataset   0.110 eV per atom

Structure (POSCAR):
```
AcLaSn
1.0
-2.177 2.177 5.302
2.177 -2.177 5.302
2.177 2.177 -5.302
Ac La Sn
1 1 1
Cartesian
0.000 0.000 0.000
0.000 0.000 7.335
0.000 0.000 3.589
```



Entry 18:
DFT (PBE-GGA) results for a relaxed structure of Dy2Tm3Zn2.

Values from the calculation:
Mass density   8.702 g/cm³
E_form   -0.128 eV/atom
Magnetic moment   0.00 μB per formula unit
Energy above the most stable polymorph in this dataset   0.000 eV per atom

Structure (POSCAR):
```
Dy2Tm3Zn2
1.0
3.478 0.000 0.000
0.000 3.469 0.000
-1.738 0.000 15.227
Dy Tm Zn
2 3 2
Cartesian
0.001 0.000 6.107
1.739 0.000 9.121
0.000 1.734 11.649
1.739 1.734 0.000
1.740 1.734 3.578
0.001 0.000 1.754
1.739 0.000 13.473
```



Entry 19:
DFT (PBE-GGA) results for a relaxed structure of Rb2TlI5.

Values from the calculation:
Mass density   3.808 g/cm³
Formation energy (no corrections)   -0.88 eV/atom
Magnetic moment   0.00 μB per formula unit
Energy above the most stable polymorph in this dataset   0.000 eV per atom

Structure (POSCAR):
```
Rb2TlI5
1.0
14.951 0.000 0.000
0.000 10.891 0.000
-3.812 0.000 10.818
Rb Tl I
8 4 20
Cartesian
-0.668 1.006 2.404
-2.574 4.440 7.813
5.129 1.543 0.367
3.223 3.902 5.776
7.917 6.988 5.042
6.011 9.348 10.451
13.713 6.451 3.005
11.807 9.885 8.414
4.414 6.353 0.309
2.508 9.983 5.718
8.632 0.907 5.100
6.726 4.538 10.509
-2.263 1.893 10.388
-0.357 3.552 4.979
1.707 7.218 0.344
-0.199 9.118 5.753
2.931 0.851 3.460
1.025 4.594 8.868
4.074 7.655 5.101
2.168 8.681 10.510
3.538 0.616 7.915
5.444 4.829 2.506
5.695 6.062 8.312
7.601 10.274 2.903
8.971 2.210 0.308
7.065 3.235 5.717
10.114 6.297 1.949
8.208 10.039 7.358
11.338 1.773 5.064
9.432 3.673 10.473
11.496 7.339 5.838
13.402 8.997 0.430
```



Entry 20:
DFT (PBE-GGA) results for a relaxed structure of Pm3Th.

Values from the calculation:
Mass density   8.121 g/cm³
E_form   0.071 eV/atom
Magnetic moment   0.00 μB per formula unit
Energy above the most stable polymorph in this dataset   0.042 eV per atom

Structure (POSCAR):
```
Pm3Th
1.0
3.627 0.000 0.000
0.000 5.949 0.000
0.000 0.000 6.321
Pm Th
3 1
Cartesian
0.000 0.000 0.000
0.000 2.975 2.098
1.813 2.975 5.173
1.813 0.000 3.095
```



Entry 21:
DFT (PBE-GGA) results for a relaxed structure of Tl2InW.

Values from the calculation:
Mass density   13.025 g/cm³
E_form   0.868 eV/atom
Magnetic moment   0.00 μB per formula unit
Energy above the most stable polymorph in this dataset   0.251 eV per atom

Structure (POSCAR):
```
Tl2InW
1.0
3.108 -5.343 0.000
3.108 5.343 0.000
-1.555 0.000 2.716
Tl In W
2 1 1
Cartesian
1.554 2.672 0.000
1.554 -2.672 0.000
0.000 0.000 0.000
3.108 0.000 0.000
```



Entry 22:
DFT (PBE-GGA) results for a relaxed structure of Ga2Sn2Pd3.

Values from the calculation:
Mass density   7.839 g/cm³
E_form   -0.394 eV/atom
Magnetic moment   0.00 μB per formula unit

Structure (POSCAR):
```
Ga2Sn2Pd3
1.0
4.171 0.000 0.000
0.010 5.472 0.000
2.084 0.965 6.461
Ga Sn Pd
2 2 3
Cartesian
1.047 2.311 2.042
5.219 4.126 4.419
3.129 1.735 5.496
3.136 4.702 0.965
3.133 4.553 5.850
3.133 3.219 3.231
3.132 1.884 0.611
```



Entry 23:
DFT (PBE-GGA) results for a relaxed structure of TbMn2B4.

Values from the calculation:
Mass density   7.243 g/cm³
E_form   -0.365 eV/atom
Magnetic moment   3.67 μB per formula unit

Structure (POSCAR):
```
TbMn2B4
1.0
-1.529 1.628 7.186
1.529 -1.628 7.186
1.529 1.628 -7.186
Tb Mn B
1 2 4
Cartesian
0.000 0.000 0.000
1.529 0.000 2.775
0.000 1.628 4.410
1.529 0.000 4.961
0.000 0.000 5.734
0.000 0.000 8.637
0.000 1.628 2.225
```